# 1
Below is AsPbCl2 after structural relaxation, with properties calculated at the PBEsol level.

```
AsPbCl2
1.0
0.000 3.504 3.504
3.504 0.000 3.504
3.504 3.504 0.000
As Pb Cl
1 1 2
direct
0.000 0.000 0.000
0.250 0.250 0.250
0.500 0.500 0.500
0.750 0.750 0.750
```

Properties
calculated volume = 21.51 A^3/atom
formation energy (no corrections) = -0.076 eV/atom
spin magnetization = 0.001 μB per cell
symmetry = F-43m, No. 216
VASP energy = -3.36 eV/atom

# 2
Below is AsPbCl2 after structural relaxation, with properties calculated at the PBEsol level.

```
AsPbCl2
1.0
1.645 0.950 9.300
-1.645 0.950 9.300
0.000 -1.900 9.300
As Pb Cl
1 1 2
direct
0.000 0.000 0.000
0.500 0.500 0.500
0.255 0.255 0.255
0.745 0.745 0.745
```

Properties
calculated volume = 21.81 A^3/atom
formation energy (no corrections) = -0.090 eV/atom
spin magnetization = 0.000 μB per cell
symmetry = R-3m, No. 166
VASP energy = -3.37 eV/atom

# 3
Below is AsPbS2Cl after structural relaxation, with properties calculated at the PBEsol level.

```
AsPbS2Cl
1.0
5.144 0.000 0.000
0.000 5.144 0.000
0.000 0.000 5.104
As Pb S Cl
1 1 2 1
direct
0.000 0.000 0.000
0.500 0.500 0.500
0.000 0.500 0.500
0.500 0.000 0.500
0.500 0.500 0.000
```

Properties
calculated volume = 27.01 A^3/atom
formation energy (no corrections) = 0.635 eV/atom
spin magnetization = 1.048 μB per cell
symmetry = P4/mmm, No. 123
VASP energy = -3.34 eV/atom

# 4
Below is AsPdCl2 after structural relaxation, with properties calculated at the PBEsol level.

```
AsPdCl2
1.0
0.000 3.245 3.245
3.245 0.000 3.245
3.245 3.245 0.000
As Pd Cl
1 1 2
direct
0.000 0.000 0.000
0.500 0.500 0.500
0.250 0.250 0.250
0.750 0.750 0.750
```

Properties
calculated volume = 17.08 A^3/atom
formation energy (no corrections) = 0.269 eV/atom
spin magnetization = 0.000 μB per cell
symmetry = Fm-3m, No. 225
VASP energy = -3.50 eV/atom

# 5
Below is AsPd3Cl after structural relaxation, with properties calculated at the PBEsol level.

```
AsPd3Cl
1.0
4.624 0.000 0.000
0.000 4.624 0.000
0.000 0.000 4.624
As Pd Cl
1 3 1
direct
0.000 0.000 0.000
0.000 0.000 0.500
0.000 0.500 0.000
0.500 0.000 0.000
0.500 0.500 0.500
```

Properties
calculated volume = 19.77 A^3/atom
formation energy (no corrections) = 0.281 eV/atom
spin magnetization = 0.000 μB per cell
symmetry = Pm-3m, No. 221
VASP energy = -4.72 eV/atom

# 6
Below is TlAsPd2Cl after structural relaxation, with properties calculated at the PBEsol level.

```
TlAsPd2Cl
1.0
5.063 0.000 0.000
0.000 5.063 0.000
0.000 0.000 5.133
Tl As Pd Cl
1 1 2 1
direct
0.000 0.000 0.000
0.000 0.000 0.500
0.000 0.500 0.000
0.500 0.000 0.000
0.500 0.500 0.500
```

Properties
calculated volume = 26.32 A^3/atom
formation energy (no corrections) = 1.014 eV/atom
spin magnetization = 0.002 μB per cell
symmetry = P4/mmm, No. 123
VASP energy = -3.32 eV/atom

# 7
Below is Pr3AsS5Cl2 after structural relaxation, with properties calculated at the PBEsol level.

```
Pr3AsS5Cl2
1.0
10.861 -3.452 0.000
10.861 3.452 0.000
-1.057 0.000 6.893
Pr As S Cl
6 2 10 4
direct
0.055 0.637 0.845
0.203 0.797 0.500
0.488 0.912 0.865
0.637 0.055 0.345
0.797 0.203 0.000
0.912 0.488 0.365
0.353 0.736 0.064
0.736 0.353 0.564
0.001 0.162 0.371
0.162 0.001 0.871
0.393 0.543 0.832
0.543 0.393 0.332
0.562 0.665 0.529
0.665 0.562 0.029
0.714 0.827 0.603
0.827 0.714 0.103
0.867 0.986 0.667
0.986 0.867 0.167
0.111 0.319 0.735
0.228 0.449 0.477
0.319 0.111 0.235
0.449 0.228 0.977
```

Properties
calculated volume = 23.49 A^3/atom
formation energy (no corrections) = -1.732 eV/atom
spin magnetization = 0.000 μB per cell
symmetry = Cc, No. 9
VASP energy = -5.97 eV/atom

# 8
Below is AsPtCl2 after structural relaxation, with properties calculated at the PBEsol level.

```
AsPtCl2
1.0
0.000 3.079 4.113
2.846 0.000 4.113
2.846 3.079 0.000
As Pt Cl
1 1 2
direct
0.000 0.000 0.000
0.500 0.500 0.500
0.000 0.500 0.500
0.500 0.000 0.000
```

Properties
calculated volume = 18.02 A^3/atom
formation energy (no corrections) = 0.205 eV/atom
spin magnetization = 0.000 μB per cell
symmetry = Fmmm, No. 69
VASP energy = -3.82 eV/atom

# 9
Below is AsPt2Cl after structural relaxation, with properties calculated at the PBEsol level.

```
AsPt2Cl
1.0
-1.554 2.949 3.953
1.554 -2.949 3.953
1.554 2.949 -3.953
As Pt Cl
1 2 1
direct
0.000 0.000 0.000
0.229 0.729 0.500
0.771 0.271 0.500
0.500 0.500 0.000
```

Properties
calculated volume = 18.11 A^3/atom
formation energy (no corrections) = 0.285 eV/atom
spin magnetization = 0.000 μB per cell
symmetry = Immm, No. 71
VASP energy = -4.98 eV/atom

# 10
Below is AsPtCl2 after structural relaxation, with properties calculated at the PBEsol level.

```
AsPtCl2
1.0
3.329 -1.838 0.000
3.329 1.838 0.000
-0.468 0.000 7.799
As Pt Cl
1 1 2
direct
0.000 0.000 0.000
0.325 0.325 0.867
0.014 0.014 0.278
0.754 0.754 0.657
```

Properties
calculated volume = 23.87 A^3/atom
formation energy (no corrections) = -0.445 eV/atom
spin magnetization = 0.000 μB per cell
symmetry = Cm, No. 8
VASP energy = -4.47 eV/atom

# 11
Below is AsPt2Cl after structural relaxation, with properties calculated at the PBEsol level.

```
AsPt2Cl
1.0
-1.428 2.118 5.526
1.428 -2.118 5.526
1.428 2.118 -5.526
As Pt Cl
1 2 1
direct
0.000 0.000 0.000
0.204 0.704 0.500
0.431 0.431 0.000
0.713 0.213 0.500
```

Properties
calculated volume = 16.71 A^3/atom
formation energy (no corrections) = 0.194 eV/atom
spin magnetization = 0.000 μB per cell
symmetry = Imm2, No. 44
VASP energy = -5.07 eV/atom

# 12
Below is AsPtCl2 after structural relaxation, with properties calculated at the PBEsol level.

```
AsPtCl2
1.0
4.224 0.000 0.000
0.000 4.224 0.000
0.000 0.000 3.903
As Pt Cl
1 1 2
direct
0.000 0.000 0.000
0.500 0.500 0.000
0.000 0.500 0.500
0.500 0.000 0.500
```

Properties
calculated volume = 17.41 A^3/atom
formation energy (no corrections) = 0.676 eV/atom
spin magnetization = 0.001 μB per cell
symmetry = P4/mmm, No. 123
VASP energy = -3.35 eV/atom

# 13
Below is AsPtCl2 after structural relaxation, with properties calculated at the PBEsol level.

```
AsPtCl2
1.0
1.511 -2.862 0.000
1.511 2.862 0.000
0.000 0.000 8.707
As Pt Cl
1 1 2
direct
0.000 0.000 0.000
0.000 0.000 0.500
0.500 0.500 0.288
0.500 0.500 0.712
```

Properties
calculated volume = 18.82 A^3/atom
formation energy (no corrections) = 0.278 eV/atom
spin magnetization = 0.000 μB per cell
symmetry = Cmmm, No. 65
VASP energy = -3.74 eV/atom

# 14
Below is AsPtCl2 after structural relaxation, with properties calculated at the PBEsol level.

```
AsPtCl2
1.0
2.974 -3.950 0.000
2.974 3.950 0.000
0.000 0.000 2.940
As Pt Cl
1 1 2
direct
0.000 0.000 0.000
0.500 0.500 0.000
0.000 0.500 0.500
0.500 0.000 0.500
```

Properties
calculated volume = 17.27 A^3/atom
formation energy (no corrections) = 0.643 eV/atom
spin magnetization = 0.001 μB per cell
symmetry = Cmmm, No. 65
VASP energy = -3.38 eV/atom

# 15
Below is AsPt2Cl after structural relaxation, with properties calculated at the PBEsol level.

```
AsPt2Cl
1.0
2.258 -2.282 0.000
2.258 2.282 0.000
0.000 0.000 6.434
As Pt Cl
1 2 1
direct
0.000 0.000 0.000
0.500 0.500 0.214
0.500 0.500 0.786
0.000 0.000 0.500
```

Properties
calculated volume = 16.57 A^3/atom
formation energy (no corrections) = 0.199 eV/atom
spin magnetization = 0.000 μB per cell
symmetry = Cmmm, No. 65
VASP energy = -5.06 eV/atom

# 16
Below is AsPtCl2 after structural relaxation, with properties calculated at the PBEsol level.

```
AsPtCl2
1.0
1.540 0.889 8.758
-1.540 0.889 8.758
0.000 -1.778 8.758
As Pt Cl
1 1 2
direct
0.000 0.000 0.000
0.500 0.500 0.500
0.414 0.414 0.414
0.586 0.586 0.586
```

Properties
calculated volume = 17.99 A^3/atom
formation energy (no corrections) = 0.167 eV/atom
spin magnetization = 0.000 μB per cell
symmetry = R-3m, No. 166
VASP energy = -3.85 eV/atom

# 17
Below is Rb3AsCl after structural relaxation, with properties calculated at the PBEsol level.

```
Rb3AsCl
1.0
6.030 0.000 0.000
0.000 6.030 0.000
0.000 0.000 6.030
Rb As Cl
3 1 1
direct
0.000 0.000 0.500
0.000 0.500 0.000
0.500 0.000 0.000
0.500 0.500 0.500
0.000 0.000 0.000
```

Properties
calculated volume = 43.84 A^3/atom
formation energy (no corrections) = -0.674 eV/atom
spin magnetization = 1.010 μB per cell
symmetry = Pm-3m, No. 221
VASP energy = -2.71 eV/atom

# 18
Below is Rb3AsCl6 after structural relaxation, with properties calculated at the PBEsol level.

```
Rb3AsCl6
1.0
0.000 5.491 5.491
5.491 0.000 5.491
5.491 5.491 0.000
Rb As Cl
3 1 6
direct
0.000 0.000 0.000
0.250 0.250 0.250
0.750 0.750 0.750
0.500 0.500 0.500
0.275 0.275 0.725
0.275 0.725 0.275
0.275 0.725 0.725
0.725 0.275 0.275
0.725 0.275 0.725
0.725 0.725 0.275
```

Properties
calculated volume = 33.11 A^3/atom
formation energy (no corrections) = -1.413 eV/atom
spin magnetization = 0.000 μB per cell
symmetry = Fm-3m, No. 225
VASP energy = -3.44 eV/atom

# 19
Below is Rb2ScAsCl after structural relaxation, with properties calculated at the PBEsol level.

```
Rb2ScAsCl
1.0
6.658 0.000 0.000
0.000 6.658 0.000
0.000 0.000 5.009
Rb Sc As Cl
2 1 1 1
direct
0.000 0.500 0.000
0.500 0.000 0.000
0.000 0.000 0.500
0.000 0.000 0.000
0.500 0.500 0.500
```

Properties
calculated volume = 44.41 A^3/atom
formation energy (no corrections) = -0.569 eV/atom
spin magnetization = 0.965 μB per cell
symmetry = P4/mmm, No. 123
VASP energy = -3.72 eV/atom

# 20
Below is Rb2ScAsCl after structural relaxation, with properties calculated at the PBEsol level.

```
Rb2ScAsCl
1.0
5.780 0.000 0.000
0.000 5.780 0.000
0.000 0.000 5.024
Rb Sc As Cl
2 1 1 1
direct
0.000 0.500 0.000
0.500 0.000 0.000
0.000 0.000 0.500
0.500 0.500 0.500
0.000 0.000 0.000
```

Properties
calculated volume = 33.57 A^3/atom
formation energy (no corrections) = -0.255 eV/atom
spin magnetization = 0.964 μB per cell
symmetry = P4/mmm, No. 123
VASP energy = -3.41 eV/atom

# 21
Below is RbSrAs2Cl after structural relaxation, with properties calculated at the PBEsol level.

```
RbSrAs2Cl
1.0
5.413 0.000 0.000
0.000 5.413 0.000
0.000 0.000 5.221
Rb Sr As Cl
1 1 2 1
direct
0.000 0.000 0.000
0.500 0.500 0.000
0.000 0.500 0.500
0.500 0.000 0.500
0.500 0.500 0.500
```

Properties
calculated volume = 30.59 A^3/atom
formation energy (no corrections) = -0.189 eV/atom
spin magnetization = 0.000 μB per cell
symmetry = P4/mmm, No. 123
VASP energy = -3.21 eV/atom

# 22
Below is ReAsCl2 after structural relaxation, with properties calculated at the PBEsol level.

```
ReAsCl2
1.0
2.875 0.000 0.000
0.000 4.389 0.000
0.000 0.000 5.216
Re As Cl
1 1 2
direct
0.000 0.000 0.000
0.500 0.000 0.500
0.000 0.500 0.500
0.500 0.500 0.000
```

Properties
calculated volume = 16.46 A^3/atom
formation energy (no corrections) = 0.798 eV/atom
spin magnetization = 1.234 μB per cell
symmetry = Pmmm, No. 47
VASP energy = -4.82 eV/atom

# 23
Below is ReAsCl2 after structural relaxation, with properties calculated at the PBEsol level.

```
ReAsCl2
1.0
2.732 -4.313 0.000
2.732 4.313 0.000
-1.903 0.000 2.808
Re As Cl
1 1 2
direct
0.000 0.000 0.000
0.500 0.500 0.000
0.000 0.500 0.500
0.500 0.000 0.500
```

Properties
calculated volume = 16.54 A^3/atom
formation energy (no corrections) = 0.776 eV/atom
spin magnetization = 0.708 μB per cell
symmetry = C2/m, No. 12
VASP energy = -4.84 eV/atom

# 24
Below is TaReAsCl2 after structural relaxation, with properties calculated at the PBEsol level.

```
TaReAsCl2
1.0
4.408 0.000 0.000
0.000 4.408 0.000
0.000 0.000 5.423
Ta Re As Cl
1 1 1 2
direct
0.000 0.000 0.000
0.500 0.500 0.500
0.500 0.500 0.000
0.000 0.500 0.500
0.500 0.000 0.500
```

Properties
calculated volume = 21.08 A^3/atom
formation energy (no corrections) = 1.229 eV/atom
spin magnetization = 2.539 μB per cell
symmetry = P4/mmm, No. 123
VASP energy = -5.77 eV/atom

# 25
Below is As2RhCl after structural relaxation, with properties calculated at the PBEsol level.

```
As2RhCl
1.0
0.000 3.171 3.171
3.171 0.000 3.171
3.171 3.171 0.000
As Rh Cl
2 1 1
direct
0.250 0.250 0.250
0.750 0.750 0.750
0.000 0.000 0.000
0.500 0.500 0.500
```

Properties
calculated volume = 15.94 A^3/atom
formation energy (no corrections) = 0.263 eV/atom
spin magnetization = 0.000 μB per cell
symmetry = Fm-3m, No. 225
VASP energy = -4.83 eV/atom

# 26
Below is AsRhCl after structural relaxation, with properties calculated at the PBEsol level.

```
AsRhCl
1.0
0.000 2.986 2.986
2.986 0.000 2.986
2.986 2.986 0.000
As Rh Cl
1 1 1
direct
0.000 0.000 0.000
0.250 0.250 0.250
0.500 0.500 0.500
```

Properties
calculated volume = 17.75 A^3/atom
formation energy (no corrections) = -0.056 eV/atom
spin magnetization = 0.000 μB per cell
symmetry = F-43m, No. 216
VASP energy = -5.14 eV/atom

# 27
Below is As2RhCl after structural relaxation, with properties calculated at the PBEsol level.

```
As2RhCl
1.0
-2.544 2.544 2.646
2.544 -2.544 2.646
2.544 2.544 -2.646
As Rh Cl
2 1 1
direct
0.000 0.500 0.500
0.500 0.000 0.500
0.000 0.000 0.000
0.500 0.500 0.000
```

Properties
calculated volume = 17.12 A^3/atom
formation energy (no corrections) = 0.136 eV/atom
spin magnetization = 0.000 μB per cell
symmetry = I4/mmm, No. 139
VASP energy = -4.95 eV/atom

# 28
Below is As2RhSeCl after structural relaxation, with properties calculated at the PBEsol level.

```
As2RhSeCl
1.0
4.699 0.000 0.000
0.000 4.699 0.000
0.000 0.000 4.623
As Rh Se Cl
2 1 1 1
direct
0.000 0.500 0.000
0.500 0.000 0.000
0.000 0.000 0.500
0.500 0.500 0.500
0.500 0.500 0.000
```

Properties
calculated volume = 20.42 A^3/atom
formation energy (no corrections) = 1.321 eV/atom
spin magnetization = 0.004 μB per cell
symmetry = P4/mmm, No. 123
VASP energy = -3.52 eV/atom

# 29
Below is SrAsRh2Cl after structural relaxation, with properties calculated at the PBEsol level.

```
SrAsRh2Cl
1.0
4.448 0.000 0.000
0.000 4.448 0.000
0.000 0.000 6.315
Sr As Rh Cl
1 1 2 1
direct
0.000 0.000 0.000
0.000 0.000 0.500
0.000 0.500 0.500
0.500 0.000 0.500
0.500 0.500 0.000
```

Properties
calculated volume = 24.99 A^3/atom
formation energy (no corrections) = -0.273 eV/atom
spin magnetization = 0.002 μB per cell
symmetry = P4/mmm, No. 123
VASP energy = -5.32 eV/atom